No. 1
{
  "formula": "IrSe2Br",
  "functional": "PBE",
  "state": "relaxed",
  "cell": [[9.2074, 0.0058, 0.0034], [8.5287, 3.4695, 0.0034], [8.5287, 1.6711, 3.0405]],
  "species": ["Se", "Se", "Ir", "Br"],
  "frac_coords": [[0.0250, 0.0250, 0.0250], [0.2654, 0.2654, 0.2654], [0.7395, 0.7395, 0.7395], [0.4701, 0.4701, 0.4701]],
  "raw_formation_energy_ev_per_atom": 0.196,
  "relative_energy_ev_per_atom": 0.425,
  "space_group": "R3m",
  "crystal_system": "trigonal"
}



No. 2
{
  "formula": "TmSc3Ge2",
  "functional": "PBE",
  "state": "relaxed",
  "cell": [[-1.0878, 1.9463, 3.5058], [-4.8521, -8.0297, 0.4902], [8.2455, 0.8085, 2.1096]],
  "species": ["Tm", "Tm", "Ge", "Ge", "Ge", "Ge", "Sc", "Sc", "Sc", "Sc", "Sc", "Sc"],
  "frac_coords": [[0.8847, 0.7695, 0.9052], [0.1153, 0.2305, 0.0948], [0.7606, 0.5213, 0.2389], [0.5097, 0.0194, 0.1666], [0.4903, 0.9806, 0.8334], [0.2394, 0.4787, 0.7611], [0.9452, 0.8903, 0.5844], [0.6907, 0.3814, 0.4903], [0.3093, 0.6186, 0.5097], [0.3493, 0.6987, 0.1841], [0.6507, 0.3013, 0.8159], [0.0548, 0.1097, 0.4156]],
  "space_group": "C2/m",
  "delta_e_f_ev_per_fu": -3.686,
  "crystal_system": "monoclinic"
}



No. 3
{
  "formula": "BaTi2Sb2",
  "functional": "PBE",
  "state": "relaxed",
  "cell": [[-1.2353, -7.5549, -3.3184], [4.3430, -3.4483, 6.2339], [-3.0038, -0.3444, 1.9022]],
  "species": ["Ti", "Ti", "Ti", "Ti", "Ba", "Ba", "Sb", "Sb", "Sb", "Sb"],
  "frac_coords": [[0.3914, 0.8914, 0.0000], [0.1086, 0.3914, 0.0000], [0.8914, 0.6086, 0.0000], [0.6086, 0.1086, 0.0000], [0.0000, 0.0000, 0.0000], [0.5000, 0.5000, 0.0000], [0.1656, 0.6656, 0.5000], [0.6656, 0.8344, 0.5000], [0.3344, 0.1656, 0.5000], [0.8344, 0.3344, 0.5000]],
  "raw_formation_energy_ev_per_atom": -0.280,
  "relative_energy_ev_per_atom": 0.317,
  "space_group": "P4/mbm",
  "crystal_system": "tetragonal"
}



No. 4
{
  "formula": "H2IrRh",
  "functional": "PBE",
  "state": "relaxed",
  "cell": [[2.8237, 0.0000, 0.0000], [1.4118, 2.4454, 0.0000], [1.4118, 0.8151, 5.2241]],
  "species": ["Ir", "Rh", "H", "H"],
  "frac_coords": [[0.0000, 0.0000, 0.0000], [0.5000, 0.5000, 0.5000], [0.1123, 0.1123, 0.6631], [0.8877, 0.8877, 0.3369]],
  "relative_energy_ev_per_atom": 0.000,
  "space_group": "R-3m",
  "crystal_system": "trigonal"
}



No. 5
{
  "formula": "K2AlPt",
  "functional": "PBE",
  "state": "relaxed",
  "cell": [[10.0529, 2.5918, 0.1360], [7.6030, 7.0690, -0.1360], [-8.7269, -5.0151, 2.5468]],
  "species": ["Pt", "K", "K", "Al"],
  "frac_coords": [[0.7500, 0.2500, 0.5000], [0.6016, 0.6016, 0.0000], [0.8984, 0.8984, 0.0000], [0.2500, 0.7500, 0.5000]],
  "space_group": "Immm",
  "delta_e_f_ev_per_fu": -0.947,
  "crystal_system": "orthorhombic"
}



No. 6
{
  "formula": "Ba5PtSe4",
  "functional": "PBE",
  "state": "relaxed",
  "cell": [[4.6519, 0.0000, -0.6556], [-0.0924, 4.6509, -0.6556], [0.0167, 0.0170, 16.9505]],
  "species": ["Se", "Se", "Se", "Se", "Ba", "Ba", "Ba", "Ba", "Ba", "Pt"],
  "frac_coords": [[0.1994, 0.1994, 0.3988], [0.8006, 0.8006, 0.6012], [0.4001, 0.4001, 0.8003], [0.5999, 0.5999, 0.1997], [0.9020, 0.9020, 0.8041], [0.6997, 0.6997, 0.3994], [0.0980, 0.0980, 0.1959], [0.3003, 0.3003, 0.6006], [0.5000, 0.5000, 0.0000], [0.0000, 0.0000, 0.0000]],
  "raw_formation_energy_ev_per_atom": -1.759,
  "space_group": "I4/mmm",
  "crystal_system": "tetragonal"
}



No. 7
{
  "formula": "SmScAs2",
  "functional": "PBE",
  "state": "relaxed",
  "cell": [[4.0305, 0.0000, 0.0000], [2.0152, 3.4905, 0.0000], [2.0152, 1.1635, 6.8650]],
  "species": ["As", "As", "Sm", "Sc"],
  "frac_coords": [[0.2446, 0.2446, 0.2661], [0.0885, 0.0885, 0.7346], [0.6692, 0.6692, 0.9923], [0.4977, 0.4977, 0.5070]],
  "relative_energy_ev_per_atom": 0.156,
  "space_group": "R3m",
  "delta_e_f_ev_per_fu": -5.091,
  "crystal_system": "trigonal"
}



No. 8
{
  "formula": "Ac2Mg4CdIn3",
  "functional": "PBE",
  "state": "relaxed",
  "cell": [[-0.3684, 4.7872, 0.0906], [-1.6573, -0.2128, 4.5022], [11.2809, 0.7889, 4.1900]],
  "species": ["Mg", "Mg", "Mg", "Mg", "Ac", "Ac", "In", "In", "In", "Cd"],
  "frac_coords": [[0.5000, 0.0000, 0.6310], [0.0000, 0.0000, 0.0000], [0.0000, 0.5000, 0.3690], [0.5000, 0.5000, 0.0000], [0.5000, 0.0000, 0.2514], [0.0000, 0.5000, 0.7486], [0.0000, 0.5000, 0.1391], [0.0000, 0.0000, 0.5000], [0.5000, 0.0000, 0.8609], [0.5000, 0.5000, 0.5000]],
  "space_group": "P-4m2",
  "delta_e_f_ev_per_fu": -2.994,
  "crystal_system": "tetragonal"
}



Number 1: calculated density 7.372 Mg/m³. Number 2: calculated density 5.628 Mg/m³. Number 3: calculated density 6.365 Mg/m³. Number 4: calculated density 13.678 Mg/m³. Number 5: calculated density 3.829 Mg/m³. Number 6: calculated density 5.421 Mg/m³. Number 7: calculated density 5.935 Mg/m³. Number 8: calculated density 6.019 Mg/m³.